[1]
# PBE Nd3BiSb, relaxed
# - Mass density: 7.62 g/cm³
# - Energy: -5.2827 eV per atom
data_Nd3BiSb
_cell_length_a 23.774
_cell_length_b 4.464
_cell_length_c 6.524
_cell_angle_alpha 90.00
_cell_angle_beta 105.90
_cell_angle_gamma 90.00
_space_group_name_H-M_alt 'C 1 2/m 1'
_space_group_IT_number 12
loop_
_space_group_symop_operation_xyz
'x,y,z'
'-x,-y,-z'
'-x,y,-z'
'x,-y,z'
'x+1/2,y+1/2,z'
'-x+1/2,-y+1/2,-z'
'-x+1/2,y+1/2,-z'
'x+1/2,-y+1/2,z'
loop_
_atom_site_label
_atom_site_fract_x
_atom_site_fract_y
_atom_site_fract_z
Nd1 0.000 0.000 0.235
Nd2 0.110 0.500 0.609
Nd3 0.192 0.000 0.191
Bi1 0.206 0.000 0.706
Sb1 0.088 0.500 0.087

***

[2]
# PBE PmNd9Cd2, relaxed
# - E_form: -0.0608 eV/atom
# - Mass density: 7.14 g/cm³
# - Energy: -4.1851 eV per atom
data_PmNd9Cd2
_cell_length_a 5.039
_cell_length_b 5.039
_cell_length_c 15.289
_cell_angle_alpha 90.00
_cell_angle_beta 90.00
_cell_angle_gamma 90.00
_space_group_name_H-M_alt 'P 4/m m m'
_space_group_IT_number 123
_space_group_name_Hall '-P 4 2'
loop_
_atom_site_label
_atom_site_fract_x
_atom_site_fract_y
_atom_site_fract_z
Pm1 0.000 0.000 0.000
Nd1 0.000 0.500 0.174
Nd2 0.000 0.500 0.500
Nd3 0.500 0.500 0.000
Nd4 0.500 0.500 0.337
Cd1 0.000 0.000 0.340

***

[3]
# PBE EuGd2Pa, relaxed
# - E_form: 0.3661 eV/atom
# - Mass density: 9.45 g/cm³
# - Energy: -11.6169 eV per atom
data_EuGd2Pa
_cell_length_a 3.3503
_cell_length_b 3.3503
_cell_length_c 37.8372
_cell_angle_alpha 90.00
_cell_angle_beta 90.00
_cell_angle_gamma 120.00
_space_group_name_H-M_alt 'R -3 m'
_space_group_IT_number 166
_space_group_name_Hall '-R 3 2"'
loop_
_atom_site_label
_atom_site_fract_x
_atom_site_fract_y
_atom_site_fract_z
Eu1 0.0000 0.0000 0.0000
Gd1 0.0000 0.0000 0.4166
Pa1 0.0000 0.0000 0.5000